No. 1
Here is a geometry-optimized Ce3Pm2DyAs6 structure from Alexandria via LeMat-Bulk. Energies are from PBE.

```
12
Lattice="3.6441 -6.3118 0.0000 3.6441 6.3118 0.0000 -2.4311 0.0000 6.8655" Properties=species:S:1:pos:R:3 pbc="T T T"
Ce 0.0000 0.0000 0.0000
Ce 3.6441 2.1165 0.0000
Ce 3.6441 -2.1165 0.0000
Pm 2.4286 4.2125 3.4328
Pm 2.4286 -4.2125 3.4328
Dy 2.4286 0.0000 3.4328
As 1.2299 2.0784 1.7113
As 0.0298 0.0000 5.1619
As 1.2299 -2.0784 1.7113
As 3.6272 2.0784 5.1543
As 4.8273 0.0000 1.7036
As 3.6272 -2.0784 5.1543
```

Its theoretical density is 7.0 g cm⁻³. For the density of states at the Fermi level, the calculation gives 16.7 states/eV per cell. As for the electronic total energy: -6.46 eV per atom. For the formation energy, the calculation gives -17.766 eV per formula unit.

=====

No. 2
Here is a geometry-optimized CePm2DyAs4 structure from Alexandria via LeMat-Bulk. Energies are from PBE.

```
8
Lattice="7.2677 0.0000 0.0000 0.0000 4.2016 0.0000 -2.4181 0.0000 6.8659" Properties=species:S:1:pos:R:3 pbc="T T T"
Ce 0.0000 0.0000 0.0000
Pm -1.2090 2.1008 3.4329
Pm 2.4248 0.0000 3.4329
Dy 3.6339 2.1008 0.0000
As 1.2227 2.1008 1.6795
As 0.0083 0.0000 5.1972
As 4.8414 0.0000 1.6686
As 3.6270 2.1008 5.1864
```

Its theoretical density is 7.1 g cm⁻³. For the density of states at the Fermi level, the calculation gives 6.3 states/eV per cell. As for the electronic total energy: -6.34 eV per atom. For the formation energy, the calculation gives -12.054 eV per formula unit.

=====

No. 3
Here is a geometry-optimized Ce3PmDy2As6 structure from Alexandria via LeMat-Bulk. Energies are from PBE.

```
12
Lattice="3.6281 -6.2842 0.0000 3.6281 6.2842 0.0000 -2.4200 0.0000 6.8312" Properties=species:S:1:pos:R:3 pbc="T T T"
Ce 0.0000 0.0000 0.0000
Ce 3.6281 2.0823 0.0000
Ce 3.6281 -2.0823 0.0000
Pm 2.4181 0.0000 3.4156
Dy 2.4181 4.1854 3.4156
Dy 2.4181 -4.1854 3.4156
As 1.1936 2.1207 1.7162
As -0.0320 0.0000 5.1077
As 1.1936 -2.1207 1.7162
As 3.6426 2.1207 5.1150
As 4.8682 0.0000 1.7236
As 3.6426 -2.1207 5.1150
```

Its theoretical density is 7.1 g cm⁻³. For the density of states at the Fermi level, the calculation gives 17.0 states/eV per cell. As for the electronic total energy: -6.45 eV per atom. For the formation energy, the calculation gives -17.762 eV per formula unit.

=====

No. 4
Here is a geometry-optimized CePm2Dy3As6 structure from Alexandria via LeMat-Bulk. Energies are from PBE.

```
12
Lattice="9.0854 -2.0894 0.0000 9.0854 2.0894 0.0000 -1.9044 0.0000 8.1280" Properties=species:S:1:pos:R:3 pbc="T T T"
Ce 0.0000 0.0000 0.0000
Pm 4.7788 0.0000 5.4046
Pm 11.4875 0.0000 2.7234
Dy -0.9522 0.0000 4.0640
Dy 5.7225 0.0000 1.3590
Dy 10.5439 0.0000 6.7691
As 1.8766 0.0000 4.7771
As 2.8817 0.0000 0.6367
As 8.5758 0.0000 2.0399
As 7.6905 0.0000 6.0881
As 13.3846 0.0000 7.4913
As 14.3897 0.0000 3.3509
```

Its theoretical density is 7.4 g cm⁻³. For the density of states at the Fermi level, the calculation gives 6.0 states/eV per cell. As for the electronic total energy: -6.28 eV per atom. For the formation energy, the calculation gives -18.211 eV per formula unit.

=====

No. 5
Here is a geometry-optimized Ce3PrDy2As6 structure from Alexandria via LeMat-Bulk. Energies are from PBE.

```
12
Lattice="3.6387 -6.3024 0.0000 3.6387 6.3024 0.0000 -2.4289 0.0000 6.8507" Properties=species:S:1:pos:R:3 pbc="T T T"
Ce 0.0000 0.0000 0.0000
Ce 3.6387 2.0809 0.0000
Ce 3.6387 -2.0809 0.0000
Pr 2.4243 0.0000 3.4253
Dy 2.4243 4.1951 3.4253
Dy 2.4243 -4.1951 3.4253
As 1.1879 2.1414 1.7098
As -0.0509 0.0000 5.1296
As 1.1879 -2.1414 1.7098
As 3.6607 2.1414 5.1409
As 4.8995 0.0000 1.7211
As 3.6607 -2.1414 5.1409
```

Its theoretical density is 7.1 g cm⁻³. For the density of states at the Fermi level, the calculation gives 16.8 states/eV per cell. As for the electronic total energy: -6.45 eV per atom. For the formation energy, the calculation gives -17.671 eV per formula unit.

=====

No. 6
Here is a geometry-optimized CePr2DyAs4 structure from Alexandria via LeMat-Bulk. Energies are from PBE.

```
8
Lattice="7.3264 0.0000 0.0000 0.0000 4.2363 0.0000 -2.4390 0.0000 6.9258" Properties=species:S:1:pos:R:3 pbc="T T T"
Ce 0.0000 0.0000 0.0000
Pr -1.2195 2.1181 3.4629
Pr 2.4437 0.0000 3.4629
Dy 3.6632 2.1181 0.0000
As 1.2315 2.1181 1.6633
As 0.0066 0.0000 5.2718
As 4.8807 0.0000 1.6540
As 3.6559 2.1181 5.2624
```

Its theoretical density is 6.8 g cm⁻³. For the density of states at the Fermi level, the calculation gives 6.3 states/eV per cell. As for the electronic total energy: -6.33 eV per atom. For the formation energy, the calculation gives -11.928 eV per formula unit.

=====

No. 7
Here is a geometry-optimized Ce2Pr3DyAs6 structure from Alexandria via LeMat-Bulk. Energies are from PBE.

```
12
Lattice="3.6736 -6.3624 0.0000 3.6736 6.3624 0.0000 -2.4487 0.0000 6.9399" Properties=species:S:1:pos:R:3 pbc="T T T"
Ce 3.6736 4.2424 0.0000
Ce 3.6736 -4.2424 0.0000
Pr -1.2244 0.0000 3.4699
Pr 2.4493 2.1241 3.4699
Pr 2.4493 -2.1241 3.4699
Dy 3.6736 0.0000 0.0000
As 0.0040 2.1147 5.2762
As 1.2323 0.0000 1.6713
As 0.0040 -2.1147 5.2762
As 4.8945 2.1147 1.6637
As 3.6662 0.0000 5.2686
As 4.8945 -2.1147 1.6637
```

Its theoretical density is 6.7 g cm⁻³. For the density of states at the Fermi level, the calculation gives 11.7 states/eV per cell. As for the electronic total energy: -6.38 eV per atom. For the formation energy, the calculation gives -17.817 eV per formula unit.

=====

No. 8
Here is a geometry-optimized Ce2PrDyAs4 structure from Alexandria via LeMat-Bulk. Energies are from PBE.

```
8
Lattice="7.2958 0.0000 0.0000 0.0000 4.2159 0.0000 -2.4358 0.0000 6.8868" Properties=species:S:1:pos:R:3 pbc="T T T"
Ce 0.0000 0.0000 0.0000
Ce -1.2179 2.1080 3.4434
Pr 2.4300 0.0000 3.4434
Dy 3.6479 2.1080 0.0000
As 1.2017 2.1080 1.6723
As -0.0159 0.0000 5.2046
As 4.8759 0.0000 1.6822
As 3.6583 2.1080 5.2145
```

Its theoretical density is 6.9 g cm⁻³. For the density of states at the Fermi level, the calculation gives 10.9 states/eV per cell. As for the electronic total energy: -6.45 eV per atom. For the formation energy, the calculation gives -11.758 eV per formula unit.

=====

No. 9
Here is a geometry-optimized CeDyPu2As4 structure from Alexandria via LeMat-Bulk. Energies are from PBE.

```
8
Lattice="7.1741 0.0000 0.0000 0.0000 4.1652 0.0000 -2.4148 0.0000 6.7908" Properties=species:S:1:pos:R:3 pbc="T T T"
Ce 0.0000 0.0000 0.0000
Dy -1.2074 2.0826 3.3954
Pu 2.3797 0.0000 3.3954
Pu 3.5871 2.0826 0.0000
As 0.0026 0.0000 5.0870
As 1.2047 2.0826 1.7192
As 4.7568 0.0000 1.7038
As 3.5547 2.0826 5.0716
```

Its theoretical density is 8.9 g cm⁻³. For the density of states at the Fermi level, the calculation gives 22.8 states/eV per cell. As for the electronic total energy: -8.48 eV per atom. For the formation energy, the calculation gives -10.040 eV per formula unit.

=====

No. 10
Here is a geometry-optimized Ce2Dy3PuAs6 structure from Alexandria via LeMat-Bulk. Energies are from PBE.

```
12
Lattice="9.0542 -2.0799 0.0000 9.0542 2.0799 0.0000 -1.8997 0.0000 8.0792" Properties=species:S:1:pos:R:3 pbc="T T T"
Ce 2.3699 0.0000 2.6792
Ce 13.8388 0.0000 5.4000
Dy 1.4356 0.0000 6.7365
Dy 8.1044 0.0000 4.0396
Dy 14.7732 0.0000 1.3427
Pu 9.0542 0.0000 0.0000
As -1.4056 0.0000 6.0655
As 4.2841 0.0000 7.4258
As 5.2567 0.0000 3.3504
As 10.9520 0.0000 4.7288
As 11.9246 0.0000 0.6534
As 17.6144 0.0000 2.0137
```

Its theoretical density is 8.0 g cm⁻³. For the density of states at the Fermi level, the calculation gives 21.0 states/eV per cell. As for the electronic total energy: -7.07 eV per atom. For the formation energy, the calculation gives -16.983 eV per formula unit.

=====

No. 11
Here is a geometry-optimized CeDyAs2Rh2 structure from Alexandria via LeMat-Bulk. Energies are from PBE.

```
6
Lattice="4.2706 0.0000 0.0000 -2.1353 3.6984 0.0000 0.0000 0.0000 7.6120" Properties=species:S:1:pos:R:3 pbc="T T T"
Ce 0.0000 0.0000 0.0000
Dy 0.0000 0.0000 3.8060
As 0.0000 2.4656 1.8819
As 2.1353 1.2328 5.7301
Rh 0.0000 2.4656 5.6266
Rh 2.1353 1.2328 1.9854
```

Its theoretical density is 9.1 g cm⁻³. For the density of states at the Fermi level, the calculation gives 5.6 states/eV per cell. As for the electronic total energy: -6.86 eV per atom. For the formation energy, the calculation gives -6.643 eV per formula unit.

=====

No. 12
Here is a geometry-optimized Ce2DyAs3Rh4 structure from Alexandria via LeMat-Bulk. Energies are from PBE.

```
10
Lattice="4.1048 0.0000 0.0000 0.0000 4.1048 0.0000 0.0000 0.0000 11.4996" Properties=species:S:1:pos:R:3 pbc="T T T"
Ce 0.0000 2.0524 2.6011
Ce 2.0524 0.0000 8.8985
Dy 0.0000 0.0000 5.7498
As 0.0000 2.0524 10.0419
As 2.0524 0.0000 1.4577
As 2.0524 2.0524 5.7498
Rh 0.0000 0.0000 0.0000
Rh 0.0000 2.0524 7.6097
Rh 2.0524 0.0000 3.8899
Rh 2.0524 2.0524 0.0000
```

Its theoretical density is 9.2 g cm⁻³. For the density of states at the Fermi level, the calculation gives 12.8 states/eV per cell. As for the electronic total energy: -6.93 eV per atom. For the formation energy, the calculation gives -9.515 eV per formula unit.

=====

No. 13
Here is a geometry-optimized Ce2DyAs2Rh7 structure from Alexandria via LeMat-Bulk. Energies are from PBE.

```
12
Lattice="2.8862 -2.8792 0.0000 2.8862 2.8792 0.0000 -2.7755 0.0000 12.9684" Properties=species:S:1:pos:R:3 pbc="T T T"
Ce -0.0180 0.0000 4.4797
Ce 3.0149 0.0000 8.4887
Dy 0.0000 0.0000 0.0000
As 0.1121 0.0000 9.5371
As 2.8848 0.0000 3.4313
Rh 1.4439 1.4401 2.0975
Rh 0.1557 0.0000 7.0297
Rh 1.5530 1.4401 10.8709
Rh 2.8862 0.0000 0.0000
Rh 1.4439 -1.4401 2.0975
Rh 2.8413 0.0000 5.9387
Rh 1.5530 -1.4401 10.8709
```

Its theoretical density is 10.1 g cm⁻³. For the density of states at the Fermi level, the calculation gives 7.9 states/eV per cell. As for the electronic total energy: -7.20 eV per atom. For the formation energy, the calculation gives -9.199 eV per formula unit.

=====

No. 14
Here is a geometry-optimized CeDyAsS structure from Alexandria via LeMat-Bulk. Energies are from PBE.

```
4
Lattice="2.0387 1.1770 6.6496 -2.0387 1.1770 6.6496 0.0000 -2.3541 6.6496" Properties=species:S:1:pos:R:3 pbc="T T T"
Ce 0.0000 0.0000 0.0000
Dy 0.0000 0.0000 10.0485
As 0.0000 0.0000 15.0452
S 0.0000 0.0000 4.9577
```

Its theoretical density is 7.1 g cm⁻³. As for the formation energy from raw total energies: -1762 meV/atom. For the density of states at the Fermi level, the calculation gives 6.0 states/eV per cell. As for the electronic total energy: -6.59 eV per atom.

=====

No. 15
Here is a geometry-optimized CeDySbAs structure from Alexandria via LeMat-Bulk. Energies are from PBE.

```
4
Lattice="2.1448 1.2383 7.0698 -2.1448 1.2383 7.0698 0.0000 -2.4765 7.0698" Properties=species:S:1:pos:R:3 pbc="T T T"
Ce 0.0000 0.0000 0.0000
Dy 0.0000 0.0000 10.3570
Sb 0.0000 0.0000 5.1407
As 0.0000 0.0000 15.8191
```

Its theoretical density is 7.4 g cm⁻³. As for the formation energy from raw total energies: -1271 meV/atom. For the density of states at the Fermi level, the calculation gives 6.0 states/eV per cell. As for the electronic total energy: -6.10 eV per atom.

=====

No. 16
Here is a geometry-optimized CeDy2ScAs4 structure from Alexandria via LeMat-Bulk. Energies are from PBE.

```
8
Lattice="7.0574 0.0000 0.0000 0.0000 4.0920 0.0000 -2.3525 0.0000 6.6815" Properties=species:S:1:pos:R:3 pbc="T T T"
Ce 0.0000 0.0000 0.0000
Dy -1.1763 2.0460 3.3408
Dy 2.3524 0.0000 3.3408
Sc 3.5287 2.0460 0.0000
As 1.2330 2.0460 1.6546
As 0.0504 0.0000 5.0706
As 4.6545 0.0000 1.6110
As 3.4719 2.0460 5.0269
```

Its theoretical density is 7.0 g cm⁻³. For the density of states at the Fermi level, the calculation gives 5.8 states/eV per cell. As for the electronic total energy: -6.46 eV per atom. For the formation energy, the calculation gives -11.578 eV per formula unit.

=====

No. 17
Here is a geometry-optimized Ce3Dy2ScAs6 structure from Alexandria via LeMat-Bulk. Energies are from PBE.

```
12
Lattice="3.5815 -6.2036 0.0000 3.5815 6.2036 0.0000 -2.3920 0.0000 6.7254" Properties=species:S:1:pos:R:3 pbc="T T T"
Ce 0.0000 0.0000 0.0000
Ce 3.5815 2.0916 0.0000
Ce 3.5815 -2.0916 0.0000
Dy 2.3855 4.1444 3.3627
Dy 2.3855 -4.1444 3.3627
Sc 2.3855 0.0000 3.3627
As 1.2214 2.0215 1.7490
As 0.0529 0.0000 4.9938
As 1.2214 -2.0215 1.7490
As 3.5497 2.0215 4.9764
As 4.7182 0.0000 1.7316
As 3.5497 -2.0215 4.9764
```

Its theoretical density is 6.9 g cm⁻³. For the density of states at the Fermi level, the calculation gives 16.8 states/eV per cell. As for the electronic total energy: -6.54 eV per atom. For the formation energy, the calculation gives -17.304 eV per formula unit.

=====

No. 18
Here is a geometry-optimized Ce3DySc2As6 structure from Alexandria via LeMat-Bulk. Energies are from PBE.

```
12
Lattice="3.5513 -6.1507 0.0000 3.5513 6.1507 0.0000 -2.3733 0.0000 6.6470" Properties=species:S:1:pos:R:3 pbc="T T T"
Ce 0.0000 0.0000 0.0000
Ce 3.5513 2.0243 0.0000
Ce 3.5513 -2.0243 0.0000
Dy 2.3647 0.0000 3.3235
Sc 2.3647 4.0915 3.3235
Sc 2.3647 -4.0915 3.3235
As 1.1540 2.0982 1.7509
As -0.0621 0.0000 4.8781
As 1.1540 -2.0982 1.7509
As 3.5754 2.0982 4.8962
As 4.7914 0.0000 1.7689
As 3.5754 -2.0982 4.8962
```

Its theoretical density is 6.4 g cm⁻³. For the density of states at the Fermi level, the calculation gives 16.0 states/eV per cell. As for the electronic total energy: -6.66 eV per atom. For the formation energy, the calculation gives -16.917 eV per formula unit.

=====

No. 19
Here is a geometry-optimized Ce2Dy3ScAs6 structure from Alexandria via LeMat-Bulk. Energies are from PBE.

```
12
Lattice="8.9596 -2.0603 0.0000 8.9596 2.0603 0.0000 -1.9047 0.0000 8.0069" Properties=species:S:1:pos:R:3 pbc="T T T"
Ce 2.3165 0.0000 2.6396
Ce 13.6979 0.0000 5.3673
Dy 1.4074 0.0000 6.6857
Dy 8.0072 0.0000 4.0035
Dy 14.6070 0.0000 1.3213
Sc 8.9596 0.0000 0.0000
As -1.4171 0.0000 6.0886
As 5.1922 0.0000 3.3184
As 4.2898 0.0000 7.3814
As 11.7246 0.0000 0.6255
As 10.8222 0.0000 4.6886
As 17.4315 0.0000 1.9184
```

Its theoretical density is 7.1 g cm⁻³. For the density of states at the Fermi level, the calculation gives 11.4 states/eV per cell. As for the electronic total energy: -6.45 eV per atom. For the formation energy, the calculation gives -17.474 eV per formula unit.

=====

No. 20
Here is a geometry-optimized Ce2DyScAs4 structure from Alexandria via LeMat-Bulk. Energies are from PBE.

```
8
Lattice="7.0970 0.0000 0.0000 0.0000 4.1197 0.0000 -2.3890 0.0000 6.7199" Properties=species:S:1:pos:R:3 pbc="T T T"
Ce 0.0000 0.0000 0.0000
Ce -1.1945 2.0599 3.3600
Dy 2.3540 0.0000 3.3600
Sc 3.5485 2.0599 0.0000
As 1.2523 2.0599 1.6544
As 0.0552 0.0000 5.1175
As 4.6528 0.0000 1.6025
As 3.4556 2.0599 5.0655
```

Its theoretical density is 6.7 g cm⁻³. For the density of states at the Fermi level, the calculation gives 10.7 states/eV per cell. As for the electronic total energy: -6.60 eV per atom. For the formation energy, the calculation gives -11.395 eV per formula unit.